## Tb5Mg2Co2 (PBE-GGA)

Data for an optimized crystal structure of Tb5Mg2Co2.

a = 7.2103 Å, b = 7.3618 Å, c = 9.3668 Å
α = 90.00°, β = 67.36°, γ = 90.00°
Fractional coordinates of all 18 atoms:
Co 0.1087 0.3873 0.0000
Co 0.6087 0.1127 0.0000
Co 0.8913 0.6127 0.0000
Co 0.3913 0.8873 0.0000
Tb 0.7984 0.8127 0.7763
Tb 0.4254 0.1873 0.7763
Tb 0.2016 0.1873 0.2237
Tb 0.2984 0.6873 0.7763
Tb 0.7016 0.3127 0.2237
Tb 0.5000 0.5000 0.0000
Tb 0.0746 0.6873 0.2237
Tb 0.5746 0.8127 0.2237
Tb 0.9254 0.3127 0.7763
Tb 0.0000 0.0000 0.0000
Mg 0.7693 0.0000 0.4613
Mg 0.7307 0.5000 0.5387
Mg 0.2693 0.5000 0.4613
Mg 0.2307 0.0000 0.5387

Results
* electronic total energy: -4.599 eV/atom
* calculated volume: 25.49 Å³ per atom
* formation enthalpy at 0 K: -0.09 eV/atom
* Fermi-level density of states: 7.956 states/eV/f.u.


## Tb2MgCo2 (PBE-GGA)

Data for an optimized crystal structure of Tb2MgCo2.

a = 5.4266 Å, b = 5.6492 Å, c = 7.6946 Å
α = 103.29°, β = 90.00°, γ = 118.71°
Fractional coordinates of all 10 atoms:
Tb 0.2052 0.7055 0.3535
Tb 0.7948 0.2945 0.6465
Tb 0.4997 0.2945 0.1465
Tb 0.5003 0.7055 0.8535
Mg 0.8709 0.0000 0.2500
Mg 0.1291 0.0000 0.7500
Co 0.0056 0.6967 0.9914
Co 0.9944 0.3033 0.0086
Co 0.6911 0.6967 0.4914
Co 0.3089 0.3033 0.5086

Results
* electronic total energy: -5.178 eV/atom
* calculated volume: 19.97 Å³ per atom
* formation enthalpy at 0 K: -0.16 eV/atom
* Fermi-level density of states: 2.194 states/eV/f.u.


## Tb2MgCo (PBE-GGA)

Data for an optimized crystal structure of Tb2MgCo.

a = 3.4166 Å, b = 3.4166 Å, c = 8.0917 Å
α = 90.00°, β = 90.00°, γ = 90.00°
Each line ends with the local moment (μB).
Fractional coordinates of all 4 atoms:
Tb 0.0000 0.0000 0.2013  -0.10
Tb 0.0000 0.0000 0.7987  -0.10
Mg 0.5000 0.5000 0.5000  0.01
Co 0.5000 0.5000 0.0000  0.98

Results
* electronic total energy: -4.613 eV/atom
* calculated volume: 23.61 Å³ per atom
* formation enthalpy at 0 K: -0.12 eV/atom
* Fermi-level density of states: 3.502 states/eV/f.u.


## Tb7Mg2Co2 (PBE-GGA)

Data for an optimized crystal structure of Tb7Mg2Co2.

a = 9.9885 Å, b = 9.9885 Å, c = 9.9885 Å
α = 159.41°, β = 121.83°, γ = 62.39°
Fractional coordinates of all 11 atoms:
Tb 0.0830 0.1801 0.9029
Tb 0.0273 0.5000 0.5273
Tb 0.4419 0.3493 0.0925
Tb 0.7228 0.8199 0.9029
Tb 0.7432 0.6507 0.0925
Tb 0.4052 0.1503 0.2549
Tb 0.1047 0.8497 0.2549
Co 0.8713 0.2669 0.6044
Co 0.3375 0.7331 0.6044
Mg 0.3855 0.5000 0.8855
Mg 0.7316 0.0000 0.7316

Results
* electronic total energy: -4.610 eV/atom
* calculated volume: 26.94 Å³ per atom
* formation enthalpy at 0 K: -0.08 eV/atom
* Fermi-level density of states: 11.021 states/eV/f.u.


## Tb8MgCo2 (PBE-GGA)

Data for an optimized crystal structure of Tb8MgCo2.

a = 6.2982 Å, b = 7.3700 Å, c = 7.3700 Å
α = 66.54°, β = 92.51°, γ = 92.51°
Fractional coordinates of all 11 atoms:
Tb 0.1790 0.4371 0.8633
Tb 0.1790 0.8633 0.4371
Tb 0.4143 0.8661 0.8661
Tb 0.8210 0.1367 0.5629
Tb 0.6910 0.6184 0.6184
Tb 0.8210 0.5629 0.1367
Tb 0.3090 0.3816 0.3816
Tb 0.5857 0.1339 0.1339
Mg 0.0000 0.0000 0.0000
Co 0.0070 0.2155 0.2155
Co 0.9930 0.7845 0.7845

Results
* electronic total energy: -4.817 eV/atom
* calculated volume: 28.49 Å³ per atom
* formation enthalpy at 0 K: -0.01 eV/atom
* Fermi-level density of states: 12.089 states/eV/f.u.


## TbMg3Co8 (PBE-GGA)

Data for an optimized crystal structure of TbMg3Co8.

a = 4.9042 Å, b = 4.9042 Å, c = 8.5389 Å
α = 73.31°, β = 73.31°, γ = 60.00°
Each line ends with the local moment (μB).
Fractional coordinates of all 12 atoms:
Mg 0.4949 0.4949 0.5153  -0.02
Mg 0.3743 0.3743 0.8771  -0.03
Mg 0.0031 0.0031 0.9908  -0.02
Co 0.4318 0.9378 0.6925  1.49
Co 0.9378 0.4318 0.6925  1.49
Co 0.9378 0.9378 0.6925  1.49
Co 0.4388 0.4388 0.1806  1.47
Co 0.1871 0.1871 0.4388  1.41
Co 0.6882 0.6882 0.9355  1.50
Co 0.9418 0.4388 0.1806  1.47
Co 0.4388 0.9418 0.1806  1.47
Tb 0.8756 0.8756 0.3733  -0.35

Results
* electronic total energy: -5.596 eV/atom
* calculated volume: 13.98 Å³ per atom
* formation enthalpy at 0 K: -0.07 eV/atom
* Fermi-level density of states: 14.664 states/eV/f.u.